Record 1
Below is a relaxed structure of LaSc2TlCo, with properties calculated at the PBE level.

Calculated values
The space group is P4/mmm, No. 123. The mass density is 6.66 g cm⁻³. The calculation puts the final energy at -5.494 eV/atom. Its formation energy from the elements is -81.3 meV/atom. The value obtained for the relative energy among the computed polymorphs is 76 meV/atom.

Geometry as POSCAR:
```
LaSc2TlCo
1.0
4.9019 0.0000 0.0000
0.0000 4.9019 0.0000
0.0000 0.0000 5.1068
Tl Sc Co La
1 2 1 1
Cartesian
0.0000 0.0000 2.5534 Tl
2.4510 0.0000 0.0000 Sc
0.0000 2.4510 0.0000 Sc
0.0000 0.0000 0.0000 Co
2.4510 2.4510 2.5534 La
```


Record 2
Below is a relaxed structure of La2YScCo, with properties calculated at the PBE level.

Calculated values
The space group is P4/mmm, No. 123. The mass density is 5.21 g cm⁻³. The calculation puts the final energy at -5.921 eV/atom. Its formation energy from the elements is 29.8 meV/atom.

Geometry as POSCAR:
```
La2YScCo
1.0
-4.7180 -1.9570 -1.6870
0.7242 -4.3730 3.0475
-2.3921 2.3589 3.9533
La Co Y Sc
2 1 1 1
Cartesian
-2.3590 -0.9785 -0.8435 La
0.3621 -2.1865 1.5238 La
0.0000 0.0000 0.0000 Co
-3.1929 -1.9855 2.6569 Y
-1.1960 1.1795 1.9767 Sc
```


Record 3
Below is a relaxed structure of LaScZnCo, with properties calculated at the PBE level.

Calculated values
The space group is F-43m, No. 216. The mass density is 6.23 g cm⁻³. The calculation puts the final energy at -5.045 eV/atom. Its formation energy from the elements is -135.5 meV/atom.

Geometry as POSCAR:
```
LaScZnCo
1.0
-1.3932 -4.0468 -2.3433
2.5532 -1.5979 -3.8388
2.6649 -4.0710 0.3659
Sc Co Zn La
1 1 1 1
Cartesian
0.9562 -2.4289 -1.4540 Sc
1.9124 -4.8578 -2.9081 Co
0.0000 0.0000 0.0000 Zn
2.8686 -7.2868 -4.3621 La
```


Record 4
Below is a relaxed structure of LaSc2ZnCo, with properties calculated at the PBE level.

Calculated values
The space group is P4/mmm, No. 123. The mass density is 5.21 g cm⁻³. The calculation puts the final energy at -5.317 eV/atom. Its formation energy from the elements is -122.8 meV/atom.

Geometry as POSCAR:
```
LaSc2ZnCo
1.0
-0.6121 -3.7168 2.9770
3.4570 1.7175 2.8551
-3.3304 2.5498 2.4987
Sc Zn Co La
2 1 1 1
Cartesian
1.7285 0.8588 1.4275 Sc
-0.3060 -1.8584 1.4885 Sc
-1.6652 1.2749 1.2494 Zn
0.0000 0.0000 0.0000 Co
-0.2428 0.2752 4.1654 La
```


Record 5
Below is a relaxed structure of LaZrSc2Co, with properties calculated at the PBE level.

Calculated values
The space group is P4/mmm, No. 123. The mass density is 5.10 g cm⁻³. The calculation puts the final energy at -6.699 eV/atom. Its formation energy from the elements is -49.9 meV/atom.

Geometry as POSCAR:
```
LaZrSc2Co
1.0
4.9667 0.0000 0.0000
0.0000 4.9667 0.0000
0.0000 0.0000 4.9996
Co Sc Zr La
1 2 1 1
Cartesian
0.0000 0.0000 0.0000 Co
0.0000 2.4834 0.0000 Sc
2.4834 0.0000 0.0000 Sc
0.0000 0.0000 2.4998 Zr
2.4834 2.4834 2.4998 La
```


Record 6
Below is a relaxed structure of La2ZrScCo, with properties calculated at the PBE level.

Calculated values
The space group is P4/mmm, No. 123. The mass density is 5.51 g cm⁻³. The calculation puts the final energy at -5.530 eV/atom. Its formation energy from the elements is 837.9 meV/atom.

Geometry as POSCAR:
```
La2ZrScCo
1.0
-2.3280 3.1899 -4.2233
-3.3080 0.9309 2.5266
2.8112 4.6544 1.9659
Co Zr Sc La
1 1 1 2
Cartesian
-1.6540 0.4654 1.2633 Co
-1.4124 4.3876 0.1346 Zr
0.0000 0.0000 0.0000 Sc
-1.1640 1.5949 -2.1117 La
1.4056 2.3272 0.9829 La
```